# TbPm2DyS6

TbPm2DyS6 after structural relaxation (GGA-PBE, the Alexandria database).

Geometry as CIF:
```
data_TbPm2DyS6
_chemical_formula_sum 'Tb3 Pm6 Dy3 S18'
_space_group_name_H-M_alt 'R 3'
_space_group_IT_number 146
_space_group_name_Hall 'R 3'
_cell_length_a 7.0377
_cell_length_b 7.0377
_cell_length_c 18.6442
_cell_angle_alpha 90.00
_cell_angle_beta 90.00
_cell_angle_gamma 120.00
loop_
_atom_site_label
_atom_site_type_symbol
_atom_site_fract_x
_atom_site_fract_y
_atom_site_fract_z
Tb1 Tb 0.0000 0.0000 0.0000
Pm1 Pm 0.0000 0.0000 0.2952
Pm2 Pm 0.0000 0.0000 0.7954
Dy1 Dy 0.0000 0.0000 0.4997
S1 S 0.0425 0.6815 0.5676
S2 S 0.0430 0.3627 0.0679
```

Summary:
- Energy relative to the elements, uncorrected: -2.044 eV/atom
- Raw total energy: -191.8 eV for the cell shown


# TbPmDy2S4

TbPmDy2S4 after structural relaxation (GGA-PBE, the Alexandria database).

Geometry as CIF:
```
data_TbPmDy2S4
_chemical_formula_sum 'Tb1 Pm1 Dy2 S4'
_space_group_name_H-M_alt 'P 1 2/m 1'
_space_group_IT_number 10
_space_group_name_Hall '-P 2y'
_cell_length_a 6.845
_cell_length_b 3.905
_cell_length_c 6.863
_cell_angle_alpha 90.00
_cell_angle_beta 109.00
_cell_angle_gamma 90.00
loop_
_atom_site_label
_atom_site_type_symbol
_atom_site_fract_x
_atom_site_fract_y
_atom_site_fract_z
Tb1 Tb 0.000 0.000 0.000
Pm1 Pm 0.500 0.500 0.000
Dy1 Dy 0.000 0.500 0.500
Dy2 Dy 0.500 0.000 0.500
S1 S 0.243 0.000 0.741
S2 S 0.248 0.500 0.255
```

Summary:
- Energy relative to the elements, uncorrected: -2.005 eV/atom
- Raw total energy: -51.1 eV for the cell shown


# PmDyTe2S

PmDyTe2S after structural relaxation (GGA-PBE, the Alexandria database).

Geometry as CIF:
```
data_PmDyTe2S
_chemical_formula_sum 'Pm2 Dy2 Te4 S2'
_space_group_name_H-M_alt 'P 4/n m m'
_space_group_IT_number 129
_cell_length_a 4.440
_cell_length_b 4.440
_cell_length_c 15.711
_cell_angle_alpha 90.00
_cell_angle_beta 90.00
_cell_angle_gamma 90.00
loop_
_space_group_symop_operation_xyz
'x,y,z'
'-x,-y,-z'
'-y+1/2,x,z'
'y+1/2,-x,-z'
'-x+1/2,-y+1/2,z'
'x+1/2,y+1/2,-z'
'y,-x+1/2,z'
'-y,x+1/2,-z'
'x+1/2,-y,-z'
'-x+1/2,y,z'
'-y,-x,-z'
'y,x,z'
'-x,y+1/2,-z'
'x,-y+1/2,z'
'y+1/2,x+1/2,-z'
'-y+1/2,-x+1/2,z'
loop_
_atom_site_label
_atom_site_type_symbol
_atom_site_fract_x
_atom_site_fract_y
_atom_site_fract_z
Pm1 Pm 0.250 0.250 0.104
Dy1 Dy 0.250 0.250 0.612
Te1 Te 0.250 0.250 0.407
Te2 Te 0.250 0.250 0.797
S1 S 0.250 0.750 0.000
```

Summary:
- Energy relative to the elements, uncorrected: -1.488 eV/atom
- Raw total energy: -54.4 eV for the cell shown


# PmDy2ThS4

PmDy2ThS4 after structural relaxation (GGA-PBE, the Alexandria database).

Geometry as CIF:
```
data_PmDy2ThS4
_chemical_formula_sum 'Pm1 Dy2 Th1 S4'
_space_group_name_H-M_alt 'P 1 2/m 1'
_space_group_IT_number 10
_space_group_name_Hall '-P 2y'
_cell_length_a 6.850
_cell_length_b 3.934
_cell_length_c 6.953
_cell_angle_alpha 90.00
_cell_angle_beta 109.06
_cell_angle_gamma 90.00
loop_
_atom_site_label
_atom_site_type_symbol
_atom_site_fract_x
_atom_site_fract_y
_atom_site_fract_z
Pm1 Pm 0.000 0.000 0.000
Dy1 Dy 0.000 0.500 0.500
Dy2 Dy 0.500 0.000 0.500
Th1 Th 0.500 0.500 0.000
S1 S 0.245 0.000 0.736
S2 S 0.254 0.500 0.263
```

Summary:
- Energy relative to the elements, uncorrected: -1.958 eV/atom
- Raw total energy: -53.5 eV for the cell shown